Entry 1:
DFT (PBE) results for crystalline TbNd6YHo2 at its relaxed geometry.

The space group is C2/c (No. 15) and the conventional cell measures 9.252, 15.361 and 9.707 Å, with angles of 90.00, 97.75 and 90.00 degrees. The asymmetric unit holds Tb at (0.000, 0.028, 0.250), Nd at (0.062, 0.178, 0.946), Nd at (0.099, 0.392, 0.120), Nd at (0.211, 0.224, 0.315), Y at (0.000, 0.410, 0.750) and Ho at (0.249, 0.049, 0.545).

For the formation energy, the calculation gives 0.113 eV per atom.


Entry 2:
DFT (PBE) results for crystalline HfTcAg2 at its relaxed geometry.

The space group is I-42d (No. 122) and the conventional cell measures 3.805, 3.805 and 20.820 Å, with angles of 90.00, 90.00 and 90.00 degrees. The asymmetric unit holds Hf at (0.000, 0.000, 0.000), Tc at (0.000, 0.000, 0.500) and Ag at (0.244, 0.250, 0.625).

For the formation energy, the calculation gives 0.421 eV per atom. As for the energy relative to the lowest polymorph listed for this composition: 1.26 kJ per mole of atoms.


Entry 3:
DFT (PBE) results for crystalline FeSbTe2N at its relaxed geometry.

The space group is P4/mmm (No. 123) and the conventional cell measures 5.829, 5.829 and 3.870 Å, with angles of 90.00, 90.00 and 90.00 degrees. The asymmetric unit holds Fe at (0.000, 0.000, 0.000), Sb at (0.500, 0.500, 0.500), Te at (0.000, 0.500, 0.500) and N at (0.500, 0.500, 0.000).

The calculation puts the uncorrected formation energy at 584.1 kJ/mol of formula units. As for the energy relative to the lowest polymorph listed for this composition: 91.12 kJ per mole of atoms.


Entry 4:
DFT (PBE) results for crystalline Ni7Sb2Te2Pt at its relaxed geometry.

The space group is C2/m (No. 12) and the conventional cell measures 5.236, 5.237 and 15.164 Å, with angles of 90.00, 99.73 and 90.00 degrees. The asymmetric unit holds Ni at (0.000, 0.000, 0.000), Ni at (0.190, 0.250, 0.878), Ni at (0.202, 0.000, 0.405), Sb at (0.116, 0.000, 0.236), Te at (0.211, 0.500, 0.422) and Pt at (0.000, 0.500, 0.000).

The calculation puts the uncorrected formation energy at -112.4 kJ/mol of formula units.


Repeat the fourth record exactly.
DFT (PBE) results for crystalline Ni7Sb2Te2Pt at its relaxed geometry.

The space group is C2/m (No. 12) and the conventional cell measures 5.236, 5.237 and 15.164 Å, with angles of 90.00, 99.73 and 90.00 degrees. The asymmetric unit holds Ni at (0.000, 0.000, 0.000), Ni at (0.190, 0.250, 0.878), Ni at (0.202, 0.000, 0.405), Sb at (0.116, 0.000, 0.236), Te at (0.211, 0.500, 0.422) and Pt at (0.000, 0.500, 0.000).

The calculation puts the uncorrected formation energy at -112.4 kJ/mol of formula units.